# 1
GdTh2Ru | PBE-GGA | optimized geometry

- Total DFT energy (no corrections): -9.66 eV/atom
- DFT formation energy: -0.108 eV/atom

```
data_GdTh2Ru
_chemical_formula_sum 'Gd1 Th2 Ru1'
_cell_length_a 3.6238
_cell_length_b 3.6238
_cell_length_c 8.3703
_cell_angle_alpha 90.00
_cell_angle_beta 90.00
_cell_angle_gamma 90.00
_symmetry_space_group_name_H-M 'P 4/m m m'
_symmetry_Int_Tables_number 123
_symmetry_space_group_name_Hall '-P 4 2'
loop_
_atom_site_label
_atom_site_fract_x
_atom_site_fract_y
_atom_site_fract_z
_atom_site_occupancy
Gd1 0.0000 0.0000 0.0000 1
Th1 0.5000 0.5000 0.3021 1
Ru1 0.0000 0.0000 0.5000 1
```


# 2
Te2RhICl | PBE-GGA | optimized geometry

- Formation energy from raw total energies: 1.237 eV/atom
- Total DFT energy (no corrections): -2.17 eV/atom

```
data_Te2RhICl
_chemical_formula_sum 'Te2 Rh1 I1 Cl1'
_cell_length_a 5.4214
_cell_length_b 5.4214
_cell_length_c 5.4664
_cell_angle_alpha 90.00
_cell_angle_beta 90.00
_cell_angle_gamma 90.00
_symmetry_space_group_name_H-M 'P 4/m m m'
_symmetry_Int_Tables_number 123
_symmetry_space_group_name_Hall '-P 4 2'
loop_
_atom_site_label
_atom_site_fract_x
_atom_site_fract_y
_atom_site_fract_z
_atom_site_occupancy
Te1 0.0000 0.5000 0.0000 1
Rh1 0.0000 0.0000 0.5000 1
I1 0.5000 0.5000 0.5000 1
Cl1 0.5000 0.5000 0.0000 1
```


# 3
PrH4Rh | PBE-GGA | optimized geometry

- Total DFT energy (no corrections): -4.57 eV/atom

```
data_PrH4Rh
_chemical_formula_sum 'Pr4 H16 Rh4'
_cell_length_a 11.1318
_cell_length_b 3.9690
_cell_length_c 6.6962
_cell_angle_alpha 90.00
_cell_angle_beta 104.21
_cell_angle_gamma 90.00
_symmetry_space_group_name_H-M 'C 1 2/m 1'
_symmetry_Int_Tables_number 12
loop_
_symmetry_equiv_pos_as_xyz
'x,y,z'
'-x,-y,-z'
'-x,y,-z'
'x,-y,z'
'x+1/2,y+1/2,z'
'-x+1/2,-y+1/2,-z'
'-x+1/2,y+1/2,-z'
'x+1/2,-y+1/2,z'
loop_
_atom_site_label
_atom_site_fract_x
_atom_site_fract_y
_atom_site_fract_z
_atom_site_occupancy
Pr1 0.1841 0.0000 0.2122 1
H1 0.0463 0.0000 0.8897 1
H2 0.0499 0.0000 0.4197 1
H3 0.0999 0.5000 0.6903 1
H4 0.2461 0.0000 0.6109 1
Rh1 0.1115 0.0000 0.6892 1
```


# 4
Tl7Te4Cl | PBE-GGA | optimized geometry

- Formation energy from raw total energies: -0.345 eV/atom
- Total DFT energy (no corrections): -2.93 eV/atom

```
data_Tl7Te4Cl
_chemical_formula_sum 'Tl14 Te8 Cl2'
_cell_length_a 16.2152
_cell_length_b 6.0873
_cell_length_c 9.0689
_cell_angle_alpha 90.00
_cell_angle_beta 109.33
_cell_angle_gamma 90.00
_symmetry_space_group_name_H-M 'C 1 2/m 1'
_symmetry_Int_Tables_number 12
loop_
_symmetry_equiv_pos_as_xyz
'x,y,z'
'-x,-y,-z'
'-x,y,-z'
'x,-y,z'
'x+1/2,y+1/2,z'
'-x+1/2,-y+1/2,-z'
'-x+1/2,y+1/2,-z'
'x+1/2,-y+1/2,z'
loop_
_atom_site_label
_atom_site_fract_x
_atom_site_fract_y
_atom_site_fract_z
_atom_site_occupancy
Tl1 0.0000 0.0000 0.0000 1
Tl2 0.0546 0.5000 0.7050 1
Tl3 0.1783 0.5000 0.3936 1
Tl4 0.1865 0.0000 0.8329 1
Te1 0.0607 0.0000 0.4147 1
Te2 0.2254 0.0000 0.2164 1
Cl1 0.0000 0.5000 0.0000 1
```


# 5
Tb2AlSn2 | PBE-GGA | optimized geometry

- Total DFT energy (no corrections): -4.36 eV/atom
- DFT formation energy: -0.160 eV/atom

```
data_Tb2AlSn2
_chemical_formula_sum 'Tb16 Al8 Sn16'
_cell_length_a 5.1396
_cell_length_b 11.7044
_cell_length_c 18.9741
_cell_angle_alpha 90.00
_cell_angle_beta 90.00
_cell_angle_gamma 90.00
_symmetry_space_group_name_H-M 'F d d d'
_symmetry_Int_Tables_number 70
loop_
_symmetry_equiv_pos_as_xyz
'x,y,z'
'-x,-y,-z'
'-x+1/4,-y+1/4,z'
'x+1/4,y+1/4,-z'
'x,-y+1/4,-z+1/4'
'-x,y+1/4,z+1/4'
'-x+1/4,y,-z+1/4'
'x+1/4,-y,z+1/4'
'x,y+1/2,z+1/2'
'-x,-y+1/2,-z+1/2'
'-x+1/4,-y+3/4,z+1/2'
'x+1/4,y+3/4,-z+1/2'
'x,-y+3/4,-z+3/4'
'-x,y+3/4,z+3/4'
'-x+1/4,y+1/2,-z+3/4'
'x+1/4,-y+1/2,z+3/4'
'x+1/2,y,z+1/2'
'-x+1/2,-y,-z+1/2'
'-x+3/4,-y+1/4,z+1/2'
'x+3/4,y+1/4,-z+1/2'
'x+1/2,-y+1/4,-z+3/4'
'-x+1/2,y+1/4,z+3/4'
'-x+3/4,y,-z+3/4'
'x+3/4,-y,z+3/4'
'x+1/2,y+1/2,z'
'-x+1/2,-y+1/2,-z'
'-x+3/4,-y+3/4,z'
'x+3/4,y+3/4,-z'
'x+1/2,-y+3/4,-z+1/4'
'-x+1/2,y+3/4,z+1/4'
'-x+3/4,y+1/2,-z+1/4'
'x+3/4,-y+1/2,z+1/4'
loop_
_atom_site_label
_atom_site_fract_x
_atom_site_fract_y
_atom_site_fract_z
_atom_site_occupancy
Tb1 0.1250 0.2737 0.1250 1
Al1 0.1250 0.1250 0.6250 1
Sn1 0.0000 0.0000 0.5000 1
```


# 6
CsRb2BaH | PBE-GGA | optimized geometry

- Total DFT energy (no corrections): -1.58 eV/atom

```
data_CsRb2BaH
_chemical_formula_sum 'Cs1 Rb2 Ba1 H1'
_cell_length_a 7.9401
_cell_length_b 7.9401
_cell_length_c 5.2182
_cell_angle_alpha 90.00
_cell_angle_beta 90.00
_cell_angle_gamma 90.00
_symmetry_space_group_name_H-M 'P 4/m m m'
_symmetry_Int_Tables_number 123
_symmetry_space_group_name_Hall '-P 4 2'
loop_
_atom_site_label
_atom_site_fract_x
_atom_site_fract_y
_atom_site_fract_z
_atom_site_occupancy
Cs1 0.0000 0.0000 0.0000 1
Rb1 0.0000 0.5000 0.5000 1
Ba1 0.5000 0.5000 0.0000 1
H1 0.5000 0.5000 0.5000 1
```


# 7
SrMg2Ir2 | PBE-GGA | optimized geometry

- Total DFT energy (no corrections): -4.71 eV/atom
- DFT formation energy: -0.190 eV/atom

```
data_SrMg2Ir2
_chemical_formula_sum 'Sr2 Mg4 Ir4'
_cell_length_a 8.0153
_cell_length_b 8.0153
_cell_length_c 2.9729
_cell_angle_alpha 90.00
_cell_angle_beta 90.00
_cell_angle_gamma 90.00
_symmetry_space_group_name_H-M 'P 4/m b m'
_symmetry_Int_Tables_number 127
_symmetry_space_group_name_Hall '-P 4 2ab'
loop_
_atom_site_label
_atom_site_fract_x
_atom_site_fract_y
_atom_site_fract_z
_atom_site_occupancy
Sr1 0.0000 0.0000 0.0000 1
Mg1 0.1319 0.3681 0.5000 1
Ir1 0.1604 0.6604 0.0000 1
```


# 8
CaLa7Y3 | PBE-GGA | optimized geometry

- Total DFT energy (no corrections): -4.86 eV/atom
- DFT formation energy: 0.221 eV/atom

```
data_CaLa7Y3
_chemical_formula_sum 'Ca2 La14 Y6'
_cell_length_a 11.9098
_cell_length_b 10.3747
_cell_length_c 6.6941
_cell_angle_alpha 90.00
_cell_angle_beta 94.51
_cell_angle_gamma 90.00
_symmetry_space_group_name_H-M 'C 1 2/m 1'
_symmetry_Int_Tables_number 12
loop_
_symmetry_equiv_pos_as_xyz
'x,y,z'
'-x,-y,-z'
'-x,y,-z'
'x,-y,z'
'x+1/2,y+1/2,z'
'-x+1/2,-y+1/2,-z'
'-x+1/2,y+1/2,-z'
'x+1/2,-y+1/2,z'
loop_
_atom_site_label
_atom_site_fract_x
_atom_site_fract_y
_atom_site_fract_z
_atom_site_occupancy
Ca1 0.0000 0.0000 0.0000 1
La1 0.0000 0.0000 0.5000 1
La2 0.2350 0.5000 0.7029 1
La3 0.2491 0.3208 0.2430 1
Y1 0.0000 0.3347 0.5000 1
Y2 0.0000 0.5000 0.0000 1
```


# 9
BePb | PBE-GGA | optimized geometry

- Total DFT energy (no corrections): -3.01 eV/atom
- DFT formation energy: 0.706 eV/atom

```
data_BePb
_chemical_formula_sum 'Be2 Pb2'
_cell_length_a 4.4291
_cell_length_b 4.4291
_cell_length_c 5.5107
_cell_angle_alpha 90.00
_cell_angle_beta 90.00
_cell_angle_gamma 120.00
_symmetry_space_group_name_H-M 'P 63/m m c'
_symmetry_Int_Tables_number 194
_symmetry_space_group_name_Hall '-P 6c 2c'
loop_
_atom_site_label
_atom_site_fract_x
_atom_site_fract_y
_atom_site_fract_z
_atom_site_occupancy
Be1 0.3333 0.6667 0.2500 1
Pb1 0.3333 0.6667 0.7500 1
```


# 10
BaCa2MgF | PBE-GGA | optimized geometry

- Formation energy from raw total energies: -1.021 eV/atom
- Total DFT energy (no corrections): -2.90 eV/atom

```
data_BaCa2MgF
_chemical_formula_sum 'Ba1 Ca2 Mg1 F1'
_cell_length_a 5.1774
_cell_length_b 5.1774
_cell_length_c 5.7808
_cell_angle_alpha 90.00
_cell_angle_beta 90.00
_cell_angle_gamma 90.00
_symmetry_space_group_name_H-M 'P 4/m m m'
_symmetry_Int_Tables_number 123
_symmetry_space_group_name_Hall '-P 4 2'
loop_
_atom_site_label
_atom_site_fract_x
_atom_site_fract_y
_atom_site_fract_z
_atom_site_occupancy
Ba1 0.0000 0.0000 0.0000 1
Ca1 0.0000 0.5000 0.5000 1
Mg1 0.5000 0.5000 0.0000 1
F1 0.0000 0.0000 0.5000 1
```


# 11
Al2CrCd | PBE-GGA | optimized geometry

- Total DFT energy (no corrections): -4.44 eV/atom
- DFT formation energy: 0.067 eV/atom

```
data_Al2CrCd
_chemical_formula_sum 'Al2 Cr1 Cd1'
_cell_length_a 2.9264
_cell_length_b 2.9560
_cell_length_c 7.8069
_cell_angle_alpha 90.00
_cell_angle_beta 90.29
_cell_angle_gamma 90.00
_symmetry_space_group_name_H-M 'P 1 2/m 1'
_symmetry_Int_Tables_number 10
loop_
_symmetry_equiv_pos_as_xyz
'x,y,z'
'-x,-y,-z'
'-x,y,-z'
'x,-y,z'
loop_
_atom_site_label
_atom_site_fract_x
_atom_site_fract_y
_atom_site_fract_z
_atom_site_occupancy
Al1 0.0023 0.0000 0.1997 1
Cr1 0.5000 0.5000 0.0000 1
Cd1 0.5000 0.5000 0.5000 1
```


# 12
NaTb2Dy3Se6 | PBE-GGA | optimized geometry

- Formation energy from raw total energies: -1.750 eV/atom
- Total DFT energy (no corrections): -5.52 eV/atom

```
data_NaTb2Dy3Se6
_chemical_formula_sum 'Na2 Tb4 Dy6 Se12'
_cell_length_a 17.8899
_cell_length_b 4.0811
_cell_length_c 8.2336
_cell_angle_alpha 90.00
_cell_angle_beta 103.37
_cell_angle_gamma 90.00
_symmetry_space_group_name_H-M 'C 1 2/m 1'
_symmetry_Int_Tables_number 12
loop_
_symmetry_equiv_pos_as_xyz
'x,y,z'
'-x,-y,-z'
'-x,y,-z'
'x,-y,z'
'x+1/2,y+1/2,z'
'-x+1/2,-y+1/2,-z'
'-x+1/2,y+1/2,-z'
'x+1/2,-y+1/2,z'
loop_
_atom_site_label
_atom_site_fract_x
_atom_site_fract_y
_atom_site_fract_z
_atom_site_occupancy
Na1 0.0000 0.0000 0.0000 1
Tb1 0.1695 0.5000 0.3425 1
Dy1 0.0000 0.0000 0.5000 1
Dy2 0.1646 0.5000 0.8262 1
Se1 0.0014 0.5000 0.2533 1
Se2 0.1645 0.0000 0.5853 1
Se3 0.1683 0.0000 0.0822 1
```